Crystalline VIn2Br at its relaxed geometry, computed with GGA-PBE.

```
4
Lattice="0.000 3.737 3.737 3.737 0.000 3.737 3.737 3.737 0.000" Properties=species:S:1:pos:R:3 pbc="T T T"
V 0.000 0.000 0.000
In 1.869 1.869 1.869
In 5.606 5.606 5.606
Br 3.737 3.737 3.737
```

Properties
The space group is Fm-3m. Its total energy is -3.53 eV/atom. The total moment is 3.87 μB/f.u. The value obtained for the polymorph energy (0 for the lowest one) is 223 meV/atom.